[1]
# ScCo2Tc

A geometry-optimized ScCo2Tc structure (GGA-PBE, the Alexandria database).

- Density: 7.602 Mg/m³
- Calculated total energy: -7.584 eV/atom
- Total magnetization: 0.340 μB per atom
- E_form: 0.143 eV/atom

Lattice parameters (Å, degrees): 4.519 4.519 4.893 79.99 79.99 35.45
Each line ends with the local moment (μB).
Fractional coordinates of all 4 atoms:
Co: 0.494 0.494 0.546  0.75
Co: 0.006 0.006 0.954  0.75
Sc: 0.250 0.250 0.250  -0.09
Tc: 0.750 0.750 0.750  0.01

***

[2]
# ScCo2Tc

A geometry-optimized ScCo2Tc structure (GGA-PBE, the Alexandria database).

- Density: 7.927 Mg/m³
- Calculated total energy: -7.757 eV/atom
- Total magnetization: 0.000 μB per atom
- E_form: -0.030 eV/atom

Lattice parameters (Å, degrees): 2.766 2.766 7.140 90.00 90.00 89.96
Fractional coordinates of all 4 atoms:
Co: 0.000 0.000 0.520
Co: 0.000 0.000 0.980
Tc: 0.500 0.500 0.750
Sc: 0.500 0.500 0.250

***

[3]
# Sc4CoTc

A geometry-optimized Sc4CoTc structure (GGA-PBE, the Alexandria database).

- Density: 4.485 Mg/m³
- Calculated total energy: -7.163 eV/atom
- Total magnetization: 0.000 μB per atom
- E_form: -0.030 eV/atom

Lattice parameters (Å, degrees): 4.452 4.453 6.288 89.90 89.94 90.00
Fractional coordinates of all 6 atoms:
Tc: 0.501 0.497 0.998
Sc: 0.002 0.498 0.747
Sc: 0.501 0.998 0.747
Sc: 0.001 0.497 0.249
Sc: 0.501 0.997 0.249
Co: 0.001 0.997 0.498

***

[4]
# ScCoTc

A geometry-optimized ScCoTc structure (GGA-PBE, the Alexandria database).

- Density: 7.119 Mg/m³
- Calculated total energy: -7.859 eV/atom
- Total magnetization: 0.615 μB per atom
- E_form: 0.076 eV/atom

Lattice parameters (Å, degrees): 4.227 4.227 3.044 90.00 90.00 120.00
Each line ends with the local moment (μB).
Fractional coordinates of all 3 atoms:
Tc: 0.667 0.333 0.781  0.62
Sc: 0.333 0.667 0.332  0.02
Co: 0.000 0.000 0.887  1.18

***

| no. | ΔE to the lowest computed polymorph (eV/atom) |
| --- | --- |
| 1 | 0.222 |
| 2 | 0.049 |
| 3 | 0.185 |
| 4 | 0.364 |